(1)
{
  "formula": "NaCrCl3",
  "functional": "PBE",
  "state": "optimized geometry",
  "lattice_angstrom": [[3.7559, -5.3926, 0.0000], [3.7559, 5.3926, 0.0000], [-3.1052, 0.0000, 6.4614]],
  "species": ["Na", "Na", "Cr", "Cr", "Cl", "Cl", "Cl", "Cl", "Cl", "Cl"],
  "fractional_positions": [[0.2035, 0.2035, 0.3448], [0.7965, 0.7965, 0.6552], [0.3295, 0.6705, 0.0000], [0.6705, 0.3295, 0.0000], [0.1294, 0.7589, 0.2136], [0.2411, 0.8706, 0.7864], [0.4909, 0.4909, 0.7705], [0.5091, 0.5091, 0.2295], [0.7589, 0.1294, 0.2136], [0.8706, 0.2411, 0.7864]],
  "total_magnetization_mub_per_cell": 8.00,
  "de_polymorph_mev_per_atom": 28,
  "dft_energy_ev_per_atom": -4.5264,
  "e_form_raw_mev_per_atom": -1230,
  "crystal_system": "monoclinic",
  "spacegroup": "C2/m, No. 12"
}

=====

(2)
{
  "formula": "Cs4Rb2Pb",
  "functional": "PBE",
  "state": "optimized geometry",
  "lattice_angstrom": [[-3.7724, 3.7724, 12.1602], [3.7724, -3.7724, 12.1602], [3.7724, 3.7724, -12.1602]],
  "species": ["Cs", "Cs", "Cs", "Cs", "Rb", "Rb", "Pb"],
  "fractional_positions": [[0.0000, 0.5000, 0.5000], [0.1603, 0.1603, 0.0000], [0.5000, 0.0000, 0.5000], [0.8397, 0.8397, 0.0000], [0.3565, 0.3565, 0.0000], [0.6435, 0.6435, 0.0000], [0.0000, 0.0000, 0.0000]],
  "total_magnetization_mub_per_cell": 0.07,
  "dft_energy_ev_per_atom": -1.2304,
  "crystal_system": "tetragonal",
  "spacegroup": "I4/mmm, No. 139",
  "dos_at_fermi_per_ev_cell": 10.827,
  "formation_energy_ev_per_atom": 0.064
}

=====

(3)
{
  "formula": "CsPdSe2",
  "functional": "PBE",
  "state": "optimized geometry",
  "lattice_angstrom": [[2.0285, 1.1712, 9.1112], [-2.0285, 1.1712, 9.1112], [0.0000, -2.3423, 9.1112]],
  "species": ["Cs", "Pd", "Se", "Se"],
  "fractional_positions": [[0.0000, 0.0000, 0.0000], [0.5000, 0.5000, 0.5000], [0.1241, 0.1241, 0.1241], [0.8759, 0.8759, 0.8759]],
  "total_magnetization_mub_per_cell": 0.00,
  "dft_energy_ev_per_atom": -3.5184,
  "e_form_raw_mev_per_atom": -265,
  "crystal_system": "trigonal",
  "spacegroup": "R-3m, No. 166",
  "dos_at_fermi_per_ev_cell": 4.688
}

=====

(4)
{
  "formula": "CeGdSnPd",
  "functional": "PBE",
  "state": "optimized geometry",
  "lattice_angstrom": [[0.0000, 3.7165, 3.7165], [3.7165, 0.0000, 3.7165], [3.7165, 3.7165, 0.0000]],
  "species": ["Ce", "Gd", "Sn", "Pd"],
  "fractional_positions": [[0.0000, 0.0000, 0.0000], [0.5000, 0.5000, 0.5000], [0.7500, 0.7500, 0.7500], [0.2500, 0.2500, 0.2500]],
  "total_magnetization_mub_per_cell": 8.27,
  "dft_energy_ev_per_atom": -7.9193,
  "crystal_system": "cubic",
  "spacegroup": "F-43m, No. 216",
  "dos_at_fermi_per_ev_cell": 10.926,
  "formation_energy_ev_per_atom": -0.617
}

=====

(5)
{
  "formula": "Pm3Er4Se8",
  "functional": "PBE",
  "state": "optimized geometry",
  "lattice_angstrom": [[5.7978, -5.8021, 0.0000], [5.7978, 5.8021, 0.0000], [-5.7664, 0.0000, 5.8061]],
  "species": ["Pm", "Pm", "Pm", "Er", "Er", "Er", "Er", "Se", "Se", "Se", "Se", "Se", "Se", "Se", "Se"],
  "fractional_positions": [[0.0000, 0.0000, 0.0000], [0.0000, 0.5000, 0.0000], [0.5000, 0.0000, 0.0000], [0.0000, 0.5000, 0.5000], [0.5000, 0.0000, 0.5000], [0.5000, 0.5000, 0.0000], [0.5000, 0.5000, 0.5000], [0.2504, 0.7496, 0.5000], [0.2544, 0.2544, 0.5090], [0.2546, 0.7454, 0.0000], [0.2555, 0.2555, 0.0018], [0.7445, 0.7445, 0.9982], [0.7454, 0.2546, 0.0000], [0.7456, 0.7456, 0.4910], [0.7496, 0.2504, 0.5000]],
  "total_magnetization_mub_per_cell": 0.00,
  "dft_energy_ev_per_atom": -5.8489,
  "e_form_raw_mev_per_atom": -1824,
  "crystal_system": "monoclinic",
  "spacegroup": "C2/m, No. 12",
  "dos_at_fermi_per_ev_cell": 6.405
}

=====

(6)
{
  "formula": "ZrTe2W",
  "functional": "PBE",
  "state": "optimized geometry",
  "lattice_angstrom": [[-1.7567, 2.1089, 6.0169], [1.7567, -2.1089, 6.0169], [1.7567, 2.1089, -6.0169]],
  "species": ["Zr", "Te", "Te", "W"],
  "fractional_positions": [[0.0000, 0.0000, 0.0000], [0.4038, 0.4038, 0.0000], [0.6695, 0.1695, 0.5000], [0.2226, 0.7226, 0.5000]],
  "total_magnetization_mub_per_cell": 0.00,
  "de_polymorph_mev_per_atom": 160,
  "dft_energy_ev_per_atom": -6.9142,
  "e_form_raw_mev_per_atom": 32,
  "crystal_system": "orthorhombic",
  "spacegroup": "Imm2, No. 44",
  "dos_at_fermi_per_ev_cell": 3.108
}

=====

(7)
{
  "formula": "Cr2CoAu",
  "functional": "PBE",
  "state": "optimized geometry",
  "lattice_angstrom": [[3.0215, 0.0000, 0.0000], [0.0000, 3.0215, 0.0000], [0.0000, 0.0000, 5.8627]],
  "species": ["Cr", "Cr", "Co", "Au"],
  "fractional_positions": [[0.0000, 0.0000, 0.0000], [0.5000, 0.5000, 0.2214], [0.5000, 0.5000, 0.8035], [0.0000, 0.0000, 0.5181]],
  "total_magnetization_mub_per_cell": 1.66,
  "de_polymorph_mev_per_atom": 47,
  "dft_energy_ev_per_atom": -7.1947,
  "crystal_system": "tetragonal",
  "spacegroup": "P4mm, No. 99",
  "dos_at_fermi_per_ev_cell": 2.168,
  "formation_energy_ev_per_atom": 0.213
}

=====

(8)
{
  "formula": "Rb4Re",
  "functional": "PBE",
  "state": "optimized geometry",
  "lattice_angstrom": [[7.0502, 0.0000, 0.0000], [0.0000, 7.0502, 0.0000], [0.0000, 0.0000, 7.0502]],
  "species": ["Rb", "Rb", "Rb", "Rb", "Re"],
  "fractional_positions": [[0.0000, 0.0000, 0.0000], [0.0000, 0.5000, 0.5000], [0.5000, 0.0000, 0.5000], [0.5000, 0.5000, 0.0000], [0.5000, 0.5000, 0.5000]],
  "total_magnetization_mub_per_cell": 3.67,
  "dft_energy_ev_per_atom": -1.9957,
  "crystal_system": "cubic",
  "spacegroup": "Pm-3m, No. 221",
  "dos_at_fermi_per_ev_cell": 12.791,
  "formation_energy_ev_per_atom": 1.268
}